1.
{
  "formula": "Zn2CdAu",
  "functional": "PBE",
  "state": "optimized geometry",
  "cell": [[-0.279, 0.179, -4.567], [-1.270, -2.889, -0.036], [-4.646, 2.100, 0.365]],
  "species": ["Cd", "Zn", "Zn", "Au"],
  "fractional_positions": [[0.500, 0.750, 0.750], [0.000, 0.327, 0.504], [0.000, 0.173, 0.996], [0.500, 0.250, 0.250]],
  "e_tot_ev_per_atom": -1.742,
  "crystal_system": "monoclinic"
}


2.
{
  "formula": "ScNiPt2",
  "functional": "PBE",
  "state": "optimized geometry",
  "cell": [[-6.500, 5.750, -1.090], [-7.897, 3.730, 0.470], [-6.317, 5.771, 1.814]],
  "species": ["Ni", "Sc", "Pt", "Pt"],
  "fractional_positions": [[0.750, 0.750, 0.750], [0.250, 0.250, 0.250], [0.002, 0.002, 0.002], [0.498, 0.498, 0.498]],
  "e_tot_ev_per_atom": -6.377,
  "crystal_system": "trigonal"
}